# 1
VASP calculation (PBEsol) on a relaxed structure of MnTlBr3.

## Properties
The space group is Pm-3m, No. 221. The calculation puts the total magnetization at 5.001 μB per formula unit. The crystal system is cubic.

```
MnTlBr3
1.0
-1.721 -3.453 3.503
4.582 0.224 2.472
-1.789 3.896 2.962
Tl Mn Br
1 1 3
Cartesian
0.536 0.333 4.468 Tl
0.000 0.000 0.000 Mn
2.291 0.112 1.236 Br
-0.894 1.948 1.481 Br
-0.861 -1.726 1.751 Br
```

# 2
VASP calculation (PBEsol) on a relaxed structure of Mn2WBr.

## Properties
The space group is R3m, No. 160. The calculation puts the total magnetization at 4.204 μB per formula unit. The crystal system is trigonal. The density of states at the Fermi level is 0.736 states/eV/atom.

```
Mn2WBr
1.0
3.090 0.000 0.000
1.545 2.676 0.000
1.545 0.892 7.764
Br Mn W
1 2 1
Cartesian
1.545 0.892 1.842 Br
1.545 0.892 7.618 Mn
4.635 2.676 5.722 Mn
3.090 1.784 4.228 W
```

# 3
VASP calculation (PBEsol) on a relaxed structure of MnW2Br.

## Properties
The space group is Cm, No. 8. The calculation puts the total magnetization at 0.000 μB per formula unit. The crystal system is monoclinic. The density of states at the Fermi level is 0.833 states/eV/atom.

```
MnW2Br
1.0
-1.996 -1.984 0.777
-0.757 -0.971 -4.425
4.354 -1.768 1.186
Br Mn W
1 1 2
Cartesian
2.852 -3.148 -0.712 Br
0.520 -2.559 0.287 Mn
0.126 -0.209 -0.211 W
1.082 -2.053 -2.464 W
```

Total DFT energy (no corrections): -4.260 -8.163 -8.939 (eV per atom)
E_form (uncorrected): -659 637 872 (meV per atom)